A plane-wave DFT calculation with SCAN was carried out for a PBEsol-optimized structure of LaMgZrPd2.

Unit cell a=4.8895 b=4.8895 c=5.2668 alpha=90.00 beta=90.00 gamma=90.00
Space group P4/mmm (No. 123)
Unique sites:
La: 0.0000 0.0000 0.0000 x1
Mg: 0.5000 0.5000 0.0000 x1
Zr: 0.5000 0.5000 0.5000 x1
Pd: 0.0000 0.5000 0.5000 x2

Results
Size of the total moment in μB per cell: 0.0
Energy of formation in eV/atom: 0.079